[1]
Computed, not measured: an optimized crystal structure of SmAl3Au3 at the PBE level of DFT.

Computed properties:
Crystal system: monoclinic
E above lowest polymorph: 0 meV per atom
ΔE_f: -527 meV per atom
Total moment: 0.00 μB/f.u.
Uncorrected energy: -58.932 eV for the cell shown

Cell and atoms, written as CIF:
```
data_SmAl3Au3
_chemical_formula_sum 'Sm2 Al6 Au6'
_symmetry_space_group_name_H-M 'P 1'
_symmetry_Int_Tables_number 1
_symmetry_space_group_name_Hall 'P 1'
_cell_length_a 7.4297
_cell_length_b 4.5137
_cell_length_c 8.9602
_cell_angle_alpha 90.00
_cell_angle_beta 108.44
_cell_angle_gamma 90.00
loop_
_atom_site_label
_atom_site_fract_x
_atom_site_fract_y
_atom_site_fract_z
Sm1 0.2060 0.2500 0.2794
Sm2 0.7940 0.7500 0.7206
Al1 0.1212 0.2500 0.9042
Al2 0.2238 0.7500 0.7439
Al3 0.4617 0.2500 0.7142
Al4 0.5383 0.7500 0.2858
Al5 0.7762 0.2500 0.2561
Al6 0.8788 0.7500 0.0958
Au1 0.0346 0.2500 0.6051
Au2 0.2283 0.7500 0.0412
Au3 0.3910 0.7500 0.5403
Au4 0.6090 0.2500 0.4597
Au5 0.7717 0.2500 0.9588
Au6 0.9654 0.7500 0.3949
```

=====

[2]
Computed, not measured: an optimized crystal structure of SmAlAu at the PBE level of DFT.

Computed properties:
Crystal system: orthorhombic
ΔE_f: -765 meV per atom
Total moment: 0.00 μB/f.u.
Uncorrected energy: -56.132 eV for the cell shown

Cell and atoms, written as CIF:
```
data_SmAlAu
_chemical_formula_sum 'Sm4 Al4 Au4'
_symmetry_space_group_name_H-M 'P 1'
_symmetry_Int_Tables_number 1
_symmetry_space_group_name_Hall 'P 1'
_cell_length_a 7.4034
_cell_length_b 4.5546
_cell_length_c 7.8057
_cell_angle_alpha 90.00
_cell_angle_beta 90.00
_cell_angle_gamma 90.00
loop_
_atom_site_label
_atom_site_fract_x
_atom_site_fract_y
_atom_site_fract_z
Sm1 0.0085 0.2500 0.1957
Sm2 0.4915 0.7500 0.6957
Sm3 0.5085 0.2500 0.3043
Sm4 0.9915 0.7500 0.8043
Al1 0.1750 0.2500 0.5797
Al2 0.3250 0.7500 0.0797
Al3 0.6750 0.2500 0.9203
Al4 0.8250 0.7500 0.4203
Au1 0.2059 0.7500 0.4067
Au2 0.2941 0.2500 0.9067
Au3 0.7059 0.7500 0.0933
Au4 0.7941 0.2500 0.5933
```

=====

[3]
Computed, not measured: an optimized crystal structure of SmAlAu2 at the PBE level of DFT.

Computed properties:
Crystal system: orthorhombic
ΔE_f: -750 meV per atom
Total moment: 0.00 μB/f.u.
Uncorrected energy: -72.067 eV for the cell shown

Cell and atoms, written as CIF:
```
data_SmAlAu2
_chemical_formula_sum 'Sm4 Al4 Au8'
_symmetry_space_group_name_H-M 'P 1'
_symmetry_Int_Tables_number 1
_symmetry_space_group_name_Hall 'P 1'
_cell_length_a 7.3235
_cell_length_b 4.5896
_cell_length_c 10.1566
_cell_angle_alpha 90.00
_cell_angle_beta 90.00
_cell_angle_gamma 90.00
loop_
_atom_site_label
_atom_site_fract_x
_atom_site_fract_y
_atom_site_fract_z
Sm1 0.1716 0.2500 0.1518
Sm2 0.3284 0.7500 0.6518
Sm3 0.6716 0.2500 0.3482
Sm4 0.8284 0.7500 0.8482
Al1 0.0473 0.7500 0.3985
Al2 0.4527 0.2500 0.8985
Al3 0.5473 0.7500 0.1015
Al4 0.9527 0.2500 0.6015
Au1 0.1057 0.2500 0.8242
Au2 0.2339 0.2500 0.4529
Au3 0.2661 0.7500 0.9529
Au4 0.3943 0.7500 0.3242
Au5 0.6057 0.2500 0.6758
Au6 0.7339 0.2500 0.0471
Au7 0.7661 0.7500 0.5471
Au8 0.8943 0.7500 0.1758
```

=====

[4]
Computed, not measured: an optimized crystal structure of SmAl6Au3 at the PBE level of DFT.

Computed properties:
Crystal system: monoclinic
ΔE_f: -452 meV per atom
Total moment: 0.00 μB/f.u.
Uncorrected energy: -83.047 eV for the cell shown

Cell and atoms, written as CIF:
```
data_SmAl6Au3
_chemical_formula_sum 'Sm2 Al12 Au6'
_symmetry_space_group_name_H-M 'P 1'
_symmetry_Int_Tables_number 1
_symmetry_space_group_name_Hall 'P 1'
_cell_length_a 8.9219
_cell_length_b 4.3512
_cell_length_c 9.8434
_cell_angle_alpha 90.00
_cell_angle_beta 98.72
_cell_angle_gamma 90.00
loop_
_atom_site_label
_atom_site_fract_x
_atom_site_fract_y
_atom_site_fract_z
Sm1 0.1018 0.2500 0.2712
Sm2 0.8982 0.7500 0.7288
Al1 0.0994 0.2500 0.9183
Al2 0.1577 0.7500 0.5079
Al3 0.2695 0.7500 0.8042
Al4 0.3465 0.7500 0.3015
Al5 0.3740 0.2500 0.5381
Al6 0.4084 0.2500 0.0572
Al7 0.5916 0.7500 0.9428
Al8 0.6260 0.7500 0.4619
Al9 0.6535 0.2500 0.6985
Al10 0.7305 0.2500 0.1958
Al11 0.8423 0.2500 0.4921
Al12 0.9006 0.7500 0.0817
Au1 0.1276 0.2500 0.6527
Au2 0.1938 0.7500 0.0508
Au3 0.4987 0.7500 0.6801
Au4 0.5013 0.2500 0.3199
Au5 0.8062 0.2500 0.9492
Au6 0.8724 0.7500 0.3473
```

=====

[5]
Computed, not measured: an optimized crystal structure of Sm5Al4Au at the PBE level of DFT.

Computed properties:
Crystal system: tetragonal
ΔE_f: -446 meV per atom
Total moment: 0.00 μB/f.u.
Uncorrected energy: -46.304 eV for the cell shown

Cell and atoms, written as CIF:
```
data_Sm5Al4Au
_chemical_formula_sum 'Sm5 Al4 Au1'
_symmetry_space_group_name_H-M 'P 1'
_symmetry_Int_Tables_number 1
_symmetry_space_group_name_Hall 'P 1'
_cell_length_a 3.6551
_cell_length_b 3.6551
_cell_length_c 18.6713
_cell_angle_alpha 90.00
_cell_angle_beta 90.00
_cell_angle_gamma 90.00
loop_
_atom_site_label
_atom_site_fract_x
_atom_site_fract_y
_atom_site_fract_z
Sm1 0.0000 0.0000 0.0000
Sm2 0.0000 0.0000 0.1985
Sm3 0.0000 0.0000 0.3999
Sm4 0.0000 0.0000 0.6001
Sm5 0.0000 0.0000 0.8015
Al1 0.5000 0.5000 0.0989
Al2 0.5000 0.5000 0.2988
Al3 0.5000 0.5000 0.7012
Al4 0.5000 0.5000 0.9011
Au1 0.5000 0.5000 0.5000
```

=====

[6]
Computed, not measured: an optimized crystal structure of SmAl3Au4 at the PBE level of DFT.

Computed properties:
Crystal system: tetragonal
ΔE_f: -532 meV per atom
Total moment: 0.00 μB/f.u.
Uncorrected energy: -33.310 eV for the cell shown

Cell and atoms, written as CIF:
```
data_SmAl3Au4
_chemical_formula_sum 'Sm1 Al3 Au4'
_symmetry_space_group_name_H-M 'P 1'
_symmetry_Int_Tables_number 1
_symmetry_space_group_name_Hall 'P 1'
_cell_length_a 4.3890
_cell_length_b 4.3890
_cell_length_c 8.2309
_cell_angle_alpha 90.00
_cell_angle_beta 90.00
_cell_angle_gamma 90.00
loop_
_atom_site_label
_atom_site_fract_x
_atom_site_fract_y
_atom_site_fract_z
Sm1 0.0000 0.0000 0.0000
Al1 0.0000 0.0000 0.5000
Al2 0.5000 0.5000 0.1548
Al3 0.5000 0.5000 0.8452
Au1 0.0000 0.5000 0.3177
Au2 0.0000 0.5000 0.6823
Au3 0.5000 0.0000 0.3177
Au4 0.5000 0.0000 0.6823
```

=====

[7]
Computed, not measured: an optimized crystal structure of SmAl3Au3 at the PBE level of DFT.

Computed properties:
Crystal system: cubic
E above lowest polymorph: 292 meV per atom
ΔE_f: -234 meV per atom
Total moment: 0.00 μB/f.u.
Uncorrected energy: -54.841 eV for the cell shown

Cell and atoms, written as CIF:
```
data_SmAl3Au3
_chemical_formula_sum 'Sm2 Al6 Au6'
_symmetry_space_group_name_H-M 'P 1'
_symmetry_Int_Tables_number 1
_symmetry_space_group_name_Hall 'P 1'
_cell_length_a 6.9352
_cell_length_b 6.9352
_cell_length_c 6.9352
_cell_angle_alpha 90.00
_cell_angle_beta 90.00
_cell_angle_gamma 90.00
loop_
_atom_site_label
_atom_site_fract_x
_atom_site_fract_y
_atom_site_fract_z
Sm1 0.0000 0.0000 0.0000
Sm2 0.5000 0.5000 0.5000
Al1 0.0000 0.2500 0.5000
Al2 0.0000 0.7500 0.5000
Al3 0.2500 0.5000 0.0000
Al4 0.5000 0.0000 0.2500
Al5 0.5000 0.0000 0.7500
Al6 0.7500 0.5000 0.0000
Au1 0.0000 0.5000 0.2500
Au2 0.0000 0.5000 0.7500
Au3 0.2500 0.0000 0.5000
Au4 0.5000 0.2500 0.0000
Au5 0.5000 0.7500 0.0000
Au6 0.7500 0.0000 0.5000
```

=====

[8]
Computed, not measured: an optimized crystal structure of Sm2Al3Au at the PBE level of DFT.

Computed properties:
Crystal system: orthorhombic
ΔE_f: -604 meV per atom
Total moment: 0.00 μB/f.u.
Uncorrected energy: -55.136 eV for the cell shown

Cell and atoms, written as CIF:
```
data_Sm2Al3Au
_chemical_formula_sum 'Sm4 Al6 Au2'
_symmetry_space_group_name_H-M 'P 1'
_symmetry_Int_Tables_number 1
_symmetry_space_group_name_Hall 'P 1'
_cell_length_a 9.1366
_cell_length_b 8.7633
_cell_length_c 5.9022
_cell_angle_alpha 74.21
_cell_angle_beta 67.36
_cell_angle_gamma 38.43
loop_
_atom_site_label
_atom_site_fract_x
_atom_site_fract_y
_atom_site_fract_z
Sm1 0.2448 0.7552 0.7552
Sm2 0.2500 0.2500 0.2500
Sm3 0.7500 0.7500 0.7500
Sm4 0.7552 0.2448 0.2448
Al1 0.1655 0.6678 0.3322
Al2 0.3322 0.8345 0.1655
Al3 0.3343 0.3343 0.6657
Al4 0.6657 0.6657 0.3343
Al5 0.6678 0.1655 0.8345
Al6 0.8345 0.3322 0.6678
Au1 0.1689 0.1689 0.8311
Au2 0.8311 0.8311 0.1689
```

=====

[9]
Computed, not measured: an optimized crystal structure of SmAl5Au7 at the PBE level of DFT.

Computed properties:
Crystal system: orthorhombic
ΔE_f: -488 meV per atom
Total moment: 0.00 μB/f.u.
Uncorrected energy: -52.714 eV for the cell shown

Cell and atoms, written as CIF:
```
data_SmAl5Au7
_chemical_formula_sum 'Sm1 Al5 Au7'
_symmetry_space_group_name_H-M 'P 1'
_symmetry_Int_Tables_number 1
_symmetry_space_group_name_Hall 'P 1'
_cell_length_a 7.0701
_cell_length_b 7.0701
_cell_length_c 7.0701
_cell_angle_alpha 133.78
_cell_angle_beta 97.40
_cell_angle_gamma 100.33
loop_
_atom_site_label
_atom_site_fract_x
_atom_site_fract_y
_atom_site_fract_z
Sm1 0.0000 0.0000 0.0000
Al1 0.0003 0.4986 0.0126
Al2 0.0003 0.9877 0.5017
Al3 0.4861 0.4986 0.4983
Al4 0.4861 0.9877 0.9874
Al5 0.7573 0.2573 0.5000
Au1 0.1715 0.4783 0.6933
Au2 0.2266 0.7266 0.5000
Au3 0.3324 0.3324 0.0000
Au4 0.3475 0.0113 0.3362
Au5 0.6751 0.0113 0.6638
Au6 0.6778 0.6778 0.0000
Au7 0.7850 0.4783 0.3067
```

=====

[10]
Computed, not measured: an optimized crystal structure of SmAl2Au6 at the PBE level of DFT.

Computed properties:
Crystal system: cubic
E above lowest polymorph: 185 meV per atom
ΔE_f: -202 meV per atom
Total moment: 0.00 μB/f.u.
Uncorrected energy: -67.366 eV for the cell shown

Cell and atoms, written as CIF:
```
data_SmAl2Au6
_chemical_formula_sum 'Sm2 Al4 Au12'
_symmetry_space_group_name_H-M 'P 1'
_symmetry_Int_Tables_number 1
_symmetry_space_group_name_Hall 'P 1'
_cell_length_a 8.3404
_cell_length_b 8.3404
_cell_length_c 8.3404
_cell_angle_alpha 60.00
_cell_angle_beta 60.00
_cell_angle_gamma 60.00
loop_
_atom_site_label
_atom_site_fract_x
_atom_site_fract_y
_atom_site_fract_z
Sm1 0.1250 0.1250 0.1250
Sm2 0.8750 0.8750 0.8750
Al1 0.0000 0.5000 0.5000
Al2 0.5000 0.0000 0.5000
Al3 0.5000 0.5000 0.0000
Al4 0.5000 0.5000 0.5000
Au1 0.1276 0.1276 0.6224
Au2 0.1276 0.6224 0.1276
Au3 0.1276 0.6224 0.6224
Au4 0.3776 0.3776 0.8724
Au5 0.3776 0.8724 0.3776
Au6 0.3776 0.8724 0.8724
Au7 0.6224 0.1276 0.1276
Au8 0.6224 0.1276 0.6224
Au9 0.6224 0.6224 0.1276
Au10 0.8724 0.3776 0.3776
Au11 0.8724 0.3776 0.8724
Au12 0.8724 0.8724 0.3776
```

=====

[11]
Computed, not measured: an optimized crystal structure of SmAl2Au10 at the PBE level of DFT.

Computed properties:
Crystal system: orthorhombic
ΔE_f: -344 meV per atom
Total moment: 0.00 μB/f.u.
Uncorrected energy: -49.452 eV for the cell shown

Cell and atoms, written as CIF:
```
data_SmAl2Au10
_chemical_formula_sum 'Sm1 Al2 Au10'
_symmetry_space_group_name_H-M 'P 1'
_symmetry_Int_Tables_number 1
_symmetry_space_group_name_Hall 'P 1'
_cell_length_a 9.4118
_cell_length_b 7.3451
_cell_length_c 7.0973
_cell_angle_alpha 81.32
_cell_angle_beta 50.49
_cell_angle_gamma 48.20
loop_
_atom_site_label
_atom_site_fract_x
_atom_site_fract_y
_atom_site_fract_z
Sm1 0.0000 0.0000 0.0000
Al1 0.0000 0.5000 0.0000
Al2 0.5000 0.0000 0.5000
Au1 0.0000 0.0000 0.5000
Au2 0.0160 0.3280 0.6720
Au3 0.2803 0.4924 0.5076
Au4 0.3280 0.0160 0.9840
Au5 0.4924 0.2803 0.7197
Au6 0.5000 0.5000 0.0000
Au7 0.5076 0.7197 0.2803
Au8 0.6720 0.9840 0.0160
Au9 0.7197 0.5076 0.4924
Au10 0.9840 0.6720 0.3280
```

=====

[12]
Computed, not measured: an optimized crystal structure of Sm3AlAu2 at the PBE level of DFT.

Computed properties:
Crystal system: tetragonal
ΔE_f: -652 meV per atom
Total moment: 0.00 μB/f.u.
Uncorrected energy: -28.368 eV for the cell shown

Cell and atoms, written as CIF:
```
data_Sm3AlAu2
_chemical_formula_sum 'Sm3 Al1 Au2'
_symmetry_space_group_name_H-M 'P 1'
_symmetry_Int_Tables_number 1
_symmetry_space_group_name_Hall 'P 1'
_cell_length_a 3.6502
_cell_length_b 3.6502
_cell_length_c 11.2038
_cell_angle_alpha 90.00
_cell_angle_beta 90.00
_cell_angle_gamma 90.00
loop_
_atom_site_label
_atom_site_fract_x
_atom_site_fract_y
_atom_site_fract_z
Sm1 0.0000 0.0000 0.0000
Sm2 0.0000 0.0000 0.3309
Sm3 0.0000 0.0000 0.6691
Al1 0.5000 0.5000 0.5000
Au1 0.5000 0.5000 0.1696
Au2 0.5000 0.5000 0.8304
```